# 1
A relaxed structure of Ac3Mg2Al3, computed with PBE-GGA.

Cell lengths 6.4261, 6.4261, 16.2019 Å; angles 90.00, 90.00, 134.80 degrees
With the nearest neighbours (Å) after each atom.
Fractional positions:
Ac (0.0848, 0.9152, 0.6132)  6 Al 3.47-3.51, 4 Mg 3.47-3.56
Ac (0.0848, 0.9152, 0.8868)  6 Al 3.47-3.51, 4 Mg 3.47-3.56
Ac (0.3681, 0.6319, 0.7500)  5 Al 3.41-3.58, 4 Mg 3.76
Ac (0.6319, 0.3681, 0.2500)  5 Al 3.41-3.58, 4 Mg 3.76
Ac (0.9152, 0.0848, 0.1132)  6 Al 3.47-3.51, 4 Mg 3.47-3.56
Ac (0.9152, 0.0848, 0.3868)  6 Al 3.47-3.51, 4 Mg 3.47-3.56
Mg (0.2129, 0.7871, 0.0852)  4 Al 2.90-3.01
Mg (0.2129, 0.7871, 0.4148)  4 Al 2.90-3.01
Mg (0.7871, 0.2129, 0.5852)  4 Al 2.90-3.01
Mg (0.7871, 0.2129, 0.9148)  4 Al 2.90-3.01
Al (0.3301, 0.6699, 0.2500)  2 Mg 3.01
Al (0.3997, 0.6003, 0.5401)  1 Al 2.71, 3 Mg 2.90-3.01
Al (0.3997, 0.6003, 0.9599)  1 Al 2.71, 3 Mg 2.90-3.01
Al (0.6003, 0.3997, 0.0401)  1 Al 2.71, 3 Mg 2.90-3.01
Al (0.6003, 0.3997, 0.4599)  1 Al 2.71, 3 Mg 2.90-3.01
Al (0.6699, 0.3301, 0.7500)  2 Mg 3.01

## Properties
SG: No. 63
E_tot: -28.64 eV/f.u.
Calculated formation energy: -237 meV per atom
DOS at the Fermi energy: 10.41 states/eV/cell


# 2
A relaxed structure of AcMg9Al3, computed with PBE-GGA.

Cell lengths 7.7148, 7.7148, 7.7605 Å; angles 97.93, 97.93, 136.25 degrees
With the nearest neighbours (Å) after each atom.
Fractional positions:
Ac (0.0000, 0.0000, 0.0000)  14 Mg 3.59-3.88, 6 Al 3.86-3.88
Mg (0.0000, 0.0000, 0.5000)  2 Al 2.87, 8 Mg 2.97-3.12
Mg (0.0004, 0.3561, 0.3513)  6 Mg 2.98-3.27, 3 Al 3.08-3.11
Mg (0.9996, 0.6439, 0.6487)  6 Mg 2.98-3.27, 3 Al 3.08-3.11
Mg (0.2850, 0.5050, 0.7844)  3 Al 2.91-2.95, 6 Mg 2.97-3.22
Mg (0.3561, 0.0004, 0.3513)  6 Mg 2.98-3.27, 3 Al 3.08-3.11
Mg (0.4950, 0.7150, 0.2156)  3 Al 2.91-2.95, 6 Mg 2.97-3.22
Mg (0.5050, 0.2850, 0.7844)  3 Al 2.91-2.95, 6 Mg 2.97-3.22
Mg (0.6439, 0.9996, 0.6487)  6 Mg 2.98-3.27, 3 Al 3.08-3.11
Mg (0.7150, 0.4950, 0.2156)  3 Al 2.91-2.95, 6 Mg 2.97-3.22
Al (0.0000, 0.5000, 0.0000)  2 Al 2.87, 8 Mg 2.91-3.10
Al (0.5000, 0.0000, 0.0000)  2 Al 2.87, 8 Mg 2.91-3.10
Al (0.5000, 0.5000, 0.5000)  10 Mg 2.87-3.11

## Properties
SG: No. 12
E_tot: -30.94 eV/f.u.
Calculated formation energy: -96 meV per atom
DOS at the Fermi energy: 5.19 states/eV/cell


# 3
A relaxed structure of AcMg10Al2, computed with PBE-GGA.

Cell lengths 10.2646, 7.8715, 7.7551 Å; angles 82.12, 49.43, 48.45 degrees
With the nearest neighbours (Å) after each atom.
Fractional positions:
Ac (0.0000, 0.0000, 0.0000)  16 Mg 3.63-3.94, 4 Al 3.88
Mg (0.0000, 0.5000, 0.0000)  10 Mg 2.89-3.17
Mg (0.0063, 0.6459, 0.3541)  6 Mg 3.00-3.22, 2 Al 3.10
Mg (0.2833, 0.5050, 0.4950)  2 Al 2.92, 7 Mg 3.02-3.22
Mg (0.3541, 0.9937, 0.0063)  6 Mg 3.00-3.22, 2 Al 3.10
Mg (0.4950, 0.7167, 0.2833)  2 Al 2.92, 7 Mg 3.02-3.22
Mg (0.5000, 0.0000, 0.5000)  10 Mg 2.89-3.17
Mg (0.5050, 0.2833, 0.7167)  2 Al 2.92, 7 Mg 3.02-3.22
Mg (0.6459, 0.0063, 0.9937)  6 Mg 3.00-3.22, 2 Al 3.10
Mg (0.7167, 0.4950, 0.5050)  2 Al 2.92, 7 Mg 3.02-3.22
Mg (0.9937, 0.3541, 0.6459)  6 Mg 3.00-3.22, 2 Al 3.10
Al (0.0000, 0.0000, 0.5000)  2 Al 2.89, 8 Mg 2.92-3.10
Al (0.5000, 0.5000, 0.0000)  2 Al 2.89, 8 Mg 2.92-3.10

## Properties
SG: No. 69
E_tot: -28.65 eV/f.u.
Calculated formation energy: -85 meV per atom
DOS at the Fermi energy: 4.99 states/eV/cell


# 4
A relaxed structure of Ac3Mg3Al2, computed with PBE-GGA.

Cell lengths 9.1156, 16.8548, 6.4390 Å; angles 90.00, 90.00, 90.00 degrees
With the nearest neighbours (Å) after each atom.
Fractional positions:
Ac (0.0421, 0.1103, 0.1139)  3 Al 3.43-3.57, 7 Mg 3.52-3.82
Ac (0.0421, 0.3897, 0.1139)  3 Al 3.43-3.57, 7 Mg 3.52-3.82
Ac (0.1803, 0.2500, 0.6229)  5 Mg 3.43-3.64, 4 Al 3.49-3.56
Ac (0.3197, 0.7500, 0.1229)  5 Mg 3.43-3.64, 4 Al 3.49-3.56
Ac (0.4579, 0.6103, 0.6139)  3 Al 3.43-3.57, 7 Mg 3.52-3.82
Ac (0.4579, 0.8897, 0.6139)  3 Al 3.43-3.57, 7 Mg 3.52-3.82
Ac (0.5421, 0.1103, 0.3861)  3 Al 3.43-3.57, 7 Mg 3.52-3.82
Ac (0.5421, 0.3897, 0.3861)  3 Al 3.43-3.57, 7 Mg 3.52-3.82
Ac (0.6803, 0.2500, 0.8771)  5 Mg 3.43-3.64, 4 Al 3.49-3.56
Ac (0.8197, 0.7500, 0.3771)  5 Mg 3.43-3.64, 4 Al 3.49-3.56
Ac (0.9579, 0.6103, 0.8861)  3 Al 3.43-3.57, 7 Mg 3.52-3.82
Ac (0.9579, 0.8897, 0.8861)  3 Al 3.43-3.57, 7 Mg 3.52-3.82
Mg (0.1692, 0.7500, 0.6105)  2 Al 2.91
Mg (0.1791, 0.0342, 0.6070)  3 Al 2.87-2.89
Mg (0.1791, 0.4658, 0.6070)  3 Al 2.87-2.89
Mg (0.3209, 0.5342, 0.1070)  3 Al 2.87-2.89
Mg (0.3209, 0.9658, 0.1070)  3 Al 2.87-2.89
Mg (0.3308, 0.2500, 0.1105)  2 Al 2.91
Mg (0.6692, 0.7500, 0.8895)  2 Al 2.91
Mg (0.6791, 0.0342, 0.8930)  3 Al 2.87-2.89
Mg (0.6791, 0.4658, 0.8930)  3 Al 2.87-2.89
Mg (0.8209, 0.5342, 0.3930)  3 Al 2.87-2.89
Mg (0.8209, 0.9658, 0.3930)  3 Al 2.87-2.89
Mg (0.8308, 0.2500, 0.3895)  2 Al 2.91
Al (0.1071, 0.6068, 0.3743)  4 Mg 2.87-2.91
Al (0.1071, 0.8932, 0.3743)  4 Mg 2.87-2.91
Al (0.3929, 0.1068, 0.8743)  4 Mg 2.87-2.91
Al (0.3929, 0.3932, 0.8743)  4 Mg 2.87-2.91
Al (0.6071, 0.6068, 0.1257)  4 Mg 2.87-2.91
Al (0.6071, 0.8932, 0.1257)  4 Mg 2.87-2.91
Al (0.8929, 0.1068, 0.6257)  4 Mg 2.87-2.91
Al (0.8929, 0.3932, 0.6257)  4 Mg 2.87-2.91

## Properties
SG: No. 62
E_tot: -25.72 eV/f.u.
Calculated formation energy: -141 meV per atom
DOS at the Fermi energy: 34.29 states/eV/cell


# 5
A relaxed structure of AcMg11Al, computed with PBE-GGA.

Cell lengths 7.8767, 7.8767, 7.8160 Å; angles 98.09, 98.09, 135.74 degrees
With the nearest neighbours (Å) after each atom.
Fractional positions:
Ac (0.0000, 0.0000, 0.0000)  18 Mg 3.64-3.94, 2 Al 3.93
Mg (0.0000, 0.0000, 0.5000)  2 Al 2.97, 8 Mg 2.98-3.13
Mg (0.0000, 0.5000, 0.0000)  10 Mg 2.97-3.19
Mg (0.0056, 0.3555, 0.3575)  8 Mg 3.01-3.34, 1 Al 3.13
Mg (0.2872, 0.5010, 0.7806)  1 Al 2.94, 7 Mg 2.98-3.25
Mg (0.3555, 0.0056, 0.3575)  8 Mg 3.01-3.34, 1 Al 3.13
Mg (0.4990, 0.7128, 0.2194)  1 Al 2.94, 7 Mg 2.98-3.25
Mg (0.5000, 0.0000, 0.0000)  10 Mg 2.97-3.19
Mg (0.5010, 0.2872, 0.7806)  1 Al 2.94, 7 Mg 2.98-3.25
Mg (0.6445, 0.9944, 0.6425)  8 Mg 3.01-3.34, 1 Al 3.13
Mg (0.7128, 0.4990, 0.2194)  1 Al 2.94, 7 Mg 2.98-3.25
Mg (0.9944, 0.6445, 0.6425)  8 Mg 3.01-3.34, 1 Al 3.13
Al (0.5000, 0.5000, 0.5000)  10 Mg 2.94-3.13

## Properties
SG: No. 12
E_tot: -26.37 eV/f.u.
Calculated formation energy: -76 meV per atom
DOS at the Fermi energy: 4.90 states/eV/cell


# 6
A relaxed structure of AcMg2Al9, computed with PBE-GGA.

Cell lengths 9.3002, 9.3002, 9.3002 Å; angles 35.33, 35.33, 35.33 degrees
With the nearest neighbours (Å) after each atom.
Fractional positions:
Ac (0.0000, 0.0000, 0.0000)  18 Al 3.26-3.59
Mg (0.1444, 0.1444, 0.1444)  12 Al 3.14-3.31, 3 Mg 3.46
Mg (0.8556, 0.8556, 0.8556)  12 Al 3.14-3.31, 3 Mg 3.46
Al (0.0780, 0.5888, 0.5888)  7 Al 2.70-2.88
Al (0.3349, 0.3349, 0.3349)  6 Al 2.75-2.77
Al (0.4112, 0.4112, 0.9220)  7 Al 2.70-2.88
Al (0.4112, 0.9220, 0.4112)  7 Al 2.70-2.88
Al (0.5000, 0.5000, 0.5000)  6 Al 2.70
Al (0.5888, 0.0780, 0.5888)  7 Al 2.70-2.88
Al (0.5888, 0.5888, 0.0780)  7 Al 2.70-2.88
Al (0.6651, 0.6651, 0.6651)  6 Al 2.75-2.77
Al (0.9220, 0.4112, 0.4112)  7 Al 2.70-2.88

## Properties
SG: No. 166
E_tot: -42.18 eV/f.u.
Calculated formation energy: -100 meV per atom
DOS at the Fermi energy: 7.12 states/eV/cell


# 7
A relaxed structure of Ac2Mg5Al5, computed with PBE-GGA.

Cell lengths 4.6540, 5.9100, 10.2949 Å; angles 90.00, 90.00, 90.00 degrees
With the nearest neighbours (Å) after each atom.
Fractional positions:
Ac (0.0000, 0.0000, 0.0000)  6 Mg 3.37-3.41, 12 Al 3.73-3.76
Ac (0.0000, 0.5000, 0.5000)  10 Mg 3.44-3.76, 8 Al 3.81
Mg (0.0000, 0.0000, 0.3274)  4 Al 2.88, 2 Mg 2.93
Mg (0.0000, 0.0000, 0.6726)  4 Al 2.88, 2 Mg 2.93
Mg (0.0000, 0.5000, 0.1658)  6 Al 2.87-2.89
Mg (0.0000, 0.5000, 0.8342)  6 Al 2.87-2.89
Mg (0.5000, 0.0000, 0.5000)  4 Mg 2.93, 4 Al 3.02
Al (0.5000, 0.2493, 0.2441)  5 Mg 2.87-3.02, 3 Al 2.92-2.96
Al (0.5000, 0.2493, 0.7559)  5 Mg 2.87-3.02, 3 Al 2.92-2.96
Al (0.5000, 0.5000, 0.0000)  4 Mg 2.89, 4 Al 2.92
Al (0.5000, 0.7507, 0.2441)  5 Mg 2.87-3.02, 3 Al 2.92-2.96
Al (0.5000, 0.7507, 0.7559)  5 Mg 2.87-3.02, 3 Al 2.92-2.96

## Properties
SG: No. 47
E_tot: -36.77 eV/f.u.
Calculated formation energy: -156 meV per atom
DOS at the Fermi energy: 5.62 states/eV/cell


# 8
A relaxed structure of Ac2Mg5Al3, computed with PBE-GGA.

Cell lengths 9.5427, 9.5427, 6.6097 Å; angles 110.19, 110.19, 88.39 degrees
With the nearest neighbours (Å) after each atom.
Fractional positions:
Ac (0.1180, 0.3647, 0.2418)  10 Mg 3.54-3.88, 6 Al 3.55-3.72
Ac (0.3647, 0.1180, 0.7418)  10 Mg 3.54-3.88, 6 Al 3.55-3.72
Ac (0.6353, 0.8820, 0.2582)  10 Mg 3.54-3.88, 6 Al 3.55-3.72
Ac (0.8820, 0.6353, 0.7582)  10 Mg 3.54-3.88, 6 Al 3.55-3.72
Mg (0.0064, 0.2511, 0.6296)  3 Al 2.72-2.79, 2 Mg 2.94-2.95
Mg (0.2511, 0.0064, 0.1296)  3 Al 2.72-2.79, 2 Mg 2.94-2.95
Mg (0.2643, 0.7357, 0.2500)  2 Al 2.82, 3 Mg 2.94-3.14
Mg (0.2638, 0.7362, 0.7500)  2 Al 2.82, 3 Mg 2.95-3.14
Mg (0.5000, 0.5000, 0.2500)  4 Al 2.91, 2 Mg 3.14
Mg (0.5000, 0.5000, 0.7500)  4 Al 2.91, 2 Mg 3.14
Mg (0.7362, 0.2638, 0.2500)  2 Al 2.82, 3 Mg 2.95-3.14
Mg (0.7357, 0.2643, 0.7500)  2 Al 2.82, 3 Mg 2.94-3.14
Mg (0.7489, 0.9936, 0.8704)  3 Al 2.72-2.79, 2 Mg 2.94-2.95
Mg (0.9936, 0.7489, 0.3704)  3 Al 2.72-2.79, 2 Mg 2.94-2.95
Al (0.0005, 0.9995, 0.7500)  4 Mg 2.79
Al (0.2308, 0.4798, 0.8555)  5 Mg 2.72-2.91
Al (0.4798, 0.2308, 0.3555)  5 Mg 2.72-2.91
Al (0.5202, 0.7692, 0.6445)  5 Mg 2.72-2.91
Al (0.7692, 0.5202, 0.1445)  5 Mg 2.72-2.91
Al (0.9995, 0.0005, 0.2500)  4 Mg 2.79

## Properties
SG: No. 15
E_tot: -29.01 eV/f.u.
Calculated formation energy: -160 meV per atom
DOS at the Fermi energy: 9.29 states/eV/cell


Question: calculated formation energy of number 3 (AcMg10Al2)?
Answer: -85 meV per atom